(1)
PBE-GGA NdDy4Th3, optimized geometry; symmetry = C2/m, No. 12; energy of formation from the pure elements = 0.0514 eV per atom
1.0
6.007 -0.897 -1.169
-1.488 5.908 -1.196
-0.689 -0.745 7.899
Nd Th Dy
1 3 4
Cartesian
3.004 -0.449 -0.584
-0.744 2.954 -0.598
3.441 3.833 3.882
0.389 0.433 1.652
3.799 0.442 2.817
0.032 3.824 2.717
1.178 1.319 5.043
2.652 2.946 0.491


(2)
PBE-GGA Nd2DyTh, optimized geometry; symmetry = P4/mmm, No. 123; offset from the most stable computed form = 0.07 eV/f.u.; energy of formation from the pure elements = 0.0478 eV per atom
1.0
-2.373 -0.902 -2.583
2.699 -0.214 -2.405
1.264 -9.923 2.302
Nd Th Dy
2 1 1
Cartesian
0.956 -7.505 1.741
0.308 -2.418 0.561
0.163 -0.558 -2.494
0.795 -5.519 -1.343


(3)
PBE-GGA Nd2DyTh2, optimized geometry; symmetry = R-3m, No. 166; energy of formation from the pure elements = 0.0338 eV per atom
1.0
-3.157 1.173 -1.311
-0.958 -0.801 -3.392
-7.901 -12.151 3.175
Nd Dy Th
2 1 2
Cartesian
-8.093 -7.108 -1.812
-3.922 -4.671 0.285
0.000 0.000 0.000
-7.995 -9.626 0.680
-4.020 -2.153 -2.207


(4)
PBE-GGA Nd2DyTh, optimized geometry; symmetry = C2/c, No. 15; offset from the most stable computed form = 0.08 eV/f.u.; energy of formation from the pure elements = 0.0494 eV per atom
1.0
-4.918 5.100 1.345
-2.460 -0.863 -5.722
-0.391 -6.370 3.393
Nd Dy Th
4 2 2
Cartesian
-2.630 -3.190 -2.437
-5.139 1.056 1.453
-2.650 -1.461 0.766
-5.119 -0.673 -1.750
-2.445 1.682 -0.930
-4.933 2.555 -3.447
-2.416 -0.055 -4.135
-4.962 4.292 -0.241


(5)
PBE-GGA Nd5Dy4Th, optimized geometry; symmetry = C2/m, No. 12; offset from the most stable computed form = 0.00 eV/f.u.; energy of formation from the pure elements = 0.0415 eV per atom
1.0
3.471 0.000 -0.808
-1.503 9.488 -6.453
0.925 -2.574 11.827
Nd Dy Th
5 4 1
Cartesian
0.633 1.753 2.716
-0.187 6.591 -0.803
3.080 0.323 5.369
0.984 4.744 -3.631
2.260 5.161 1.849
0.923 8.114 -3.892
-0.116 3.054 -0.498
1.970 -1.200 8.458
3.009 3.860 5.064
1.735 0.000 -0.404


(6)
PBE-GGA Nd3DyTh, optimized geometry; symmetry = P6_3mc, No. 186; offset from the most stable computed form = 0.00 eV/f.u.; energy of formation from the pure elements = 0.0227 eV per atom
1.0
-0.208 -0.853 3.531
-2.855 -0.574 -2.181
10.023 -27.157 -5.969
Nd Dy Th
6 2 2
Cartesian
3.237 -8.770 -1.928
8.249 -22.349 -4.913
-0.740 -4.006 -1.011
5.154 -17.677 -2.092
8.214 -25.970 -3.915
2.320 -12.298 -2.834
5.300 -20.370 -4.608
1.170 -6.885 0.281
0.253 -0.686 -0.151
5.265 -14.265 -3.136


(7)
PBE-GGA Nd3Dy4Th, optimized geometry; symmetry = Pmn2_1, No. 31; offset from the most stable computed form = 0.00 eV/f.u.; energy of formation from the pure elements = 0.0489 eV per atom
1.0
-1.039 -4.151 4.626
-2.256 -4.878 -4.884
10.900 -3.947 -1.093
Nd Dy Th
6 8 2
Cartesian
-2.069 -5.700 -0.052
0.283 -8.068 1.196
1.403 -4.805 0.084
4.444 -4.422 -1.733
6.809 -6.763 -0.458
5.777 -10.058 0.645
-2.132 -4.889 -3.606
-0.963 -3.320 2.384
1.399 -5.682 3.680
0.265 -7.280 -2.300
3.326 -6.852 -4.113
4.501 -5.256 1.846
5.676 -9.240 -2.843
6.888 -7.670 3.130
-0.994 -2.437 -1.111
3.354 -7.746 -0.606


(8)
PBE-GGA Nd4Dy2Th3, optimized geometry; symmetry = P3m1, No. 156; offset from the most stable computed form = 0.33 eV/f.u.; energy of formation from the pure elements = 0.0892 eV per atom
1.0
-0.005 -2.174 -2.856
1.884 -0.882 2.924
-21.589 -13.052 9.972
Nd Dy Th
4 2 3
Cartesian
-11.789 -7.127 5.446
-8.662 -7.359 3.361
-3.966 -4.519 1.192
-16.535 -9.996 7.638
-1.264 -2.886 -0.056
-18.272 -13.168 7.800
-21.235 -12.838 9.809
-6.922 -4.185 3.197
-13.523 -10.297 5.606


(9)
PBE-GGA NdDy12Th2, optimized geometry; symmetry = C2/m, No. 12; energy of formation from the pure elements = 0.1160 eV per atom
1.0
-2.234 4.006 -4.739
-4.588 -2.205 4.194
9.058 18.088 14.965
Nd Dy Th
2 24 4
Cartesian
-1.117 2.005 -2.368
4.530 20.990 12.322
3.138 15.488 11.639
6.563 14.625 11.858
1.944 18.436 13.333
2.811 15.237 14.804
-1.554 3.860 9.030
-1.752 1.547 4.082
2.928 13.019 6.357
-0.438 6.804 4.796
5.355 17.537 13.604
-3.119 2.354 0.814
3.928 10.397 8.117
0.485 9.976 3.597
1.497 9.980 14.089
1.718 8.592 6.575
0.292 1.452 1.088
-1.642 9.625 6.112
0.467 11.166 8.035
-4.313 5.302 2.508
1.782 9.370 10.453
2.613 12.924 9.856
3.993 18.327 10.328
-0.916 4.364 2.835
-0.723 7.414 8.433
-0.580 4.668 -0.375
-3.016 4.599 5.871
-1.688 7.683 1.430
4.074 12.185 13.015
5.101 15.312 8.524


(10)
PBE-GGA Nd2Dy7Th3, optimized geometry; symmetry = P2/m, No. 10; energy of formation from the pure elements = 0.0984 eV per atom
1.0
3.506 0.000 0.000
0.000 6.324 0.839
0.000 2.034 17.793
Nd Dy Th
2 7 3
Cartesian
1.753 4.666 6.376
1.753 3.692 12.256
1.753 2.555 9.015
1.753 5.803 9.617
0.000 3.851 3.373
0.000 0.000 0.000
0.000 4.507 15.259
1.753 7.559 15.603
1.753 0.799 3.029
1.753 3.162 0.420
0.000 1.490 6.117
0.000 6.868 12.515


(11)
PBE-GGA Nd5Dy12Th2, optimized geometry; symmetry = C2/m, No. 12; energy of formation from the pure elements = 0.1425 eV per atom
1.0
9.393 0.000 0.000
-4.697 7.752 1.110
0.000 -1.620 8.537
Nd Dy Th
5 12 2
Cartesian
0.000 2.674 5.376
0.000 2.993 8.981
0.000 -0.810 4.268
4.697 3.139 0.666
4.697 3.458 4.271
4.697 6.420 1.996
-3.025 4.246 7.258
3.025 4.246 7.258
-1.799 5.210 3.640
1.799 5.210 3.640
0.000 5.787 6.683
4.697 0.345 2.964
6.495 0.923 6.007
2.898 0.923 6.007
7.722 1.886 2.389
1.672 1.886 2.389
0.000 -0.288 7.650
6.310 0.000 0.000
3.083 0.000 0.000


(12)
PBE-GGA Nd4DyTh3, optimized geometry; symmetry = Pmmn, No. 59; energy of formation from the pure elements = 0.0359 eV per atom
1.0
5.096 0.000 0.000
0.000 10.330 0.000
0.000 0.000 10.213
Nd Th Dy
8 6 2
Cartesian
0.328 8.908 0.000
2.876 1.351 0.000
0.328 1.387 2.561
2.876 8.943 2.546
0.328 8.978 5.106
2.876 1.422 5.106
2.876 8.943 7.667
0.328 1.387 7.652
2.876 6.392 0.000
0.328 6.381 2.531
2.876 3.948 2.575
0.328 3.938 5.106
2.876 3.948 7.638
0.328 6.381 7.682
0.328 3.949 0.000
2.876 6.381 5.106


(13)
PBE-GGA Nd2DyTh, optimized geometry; symmetry = R-3m, No. 166; offset from the most stable computed form = 0.05 eV/f.u.; energy of formation from the pure elements = 0.0419 eV per atom
1.0
-0.441 -0.211 -3.589
2.764 -1.019 -2.107
-2.571 -11.706 -0.823
Nd Th Dy
2 1 1
Cartesian
-0.197 -9.739 -4.886
-0.051 -3.197 -1.633
0.000 0.000 0.000
-0.124 -6.468 -3.260


(14)
PBE-GGA Nd2Dy7Th4, optimized geometry; symmetry = P-31m, No. 162; energy of formation from the pure elements = 0.2227 eV per atom
1.0
6.089 0.000 0.000
-3.045 5.274 0.000
0.000 0.000 13.382
Nd Dy Th
2 7 4
Cartesian
3.045 1.758 0.000
0.000 3.516 0.000
-1.101 1.906 10.473
-1.944 3.367 2.909
0.000 0.000 0.000
2.201 0.000 10.473
3.888 0.000 2.909
1.101 1.906 2.909
1.944 3.367 10.473
0.000 0.000 8.154
0.000 0.000 5.228
3.045 1.758 6.691
0.000 3.516 6.691


(15)
PBE-GGA Nd9DyTh2, optimized geometry; symmetry = P4/mmm, No. 123; energy of formation from the pure elements = 0.0465 eV per atom
1.0
5.156 0.000 0.000
0.000 5.156 0.000
0.000 0.000 15.488
Nd Dy Th
9 1 2
Cartesian
2.578 2.578 0.000
2.578 2.578 5.157
2.578 2.578 10.331
2.578 0.000 2.606
2.578 0.000 7.744
2.578 0.000 12.882
0.000 2.578 2.606
0.000 2.578 7.744
0.000 2.578 12.882
0.000 0.000 0.000
0.000 0.000 5.162
0.000 0.000 10.326


(16)
PBE-GGA Nd12Dy5Th2, optimized geometry; symmetry = C2/m, No. 12; offset from the most stable computed form = 0.00 eV/f.u.; energy of formation from the pure elements = 0.1504 eV per atom
1.0
6.771 0.000 -2.177
-0.901 8.283 -2.803
0.057 -0.110 11.798
Nd Dy Th
12 5 2
Cartesian
5.021 7.794 3.998
2.390 6.525 1.551
5.733 6.525 0.477
2.113 3.184 0.651
5.434 3.184 -0.417
3.075 5.797 -2.054
2.852 2.376 8.872
3.815 4.989 6.168
0.494 4.989 7.235
3.538 1.647 5.267
0.194 1.647 6.342
0.907 0.379 2.820
4.656 4.134 2.863
4.323 0.765 1.827
-0.451 4.141 -1.402
1.605 7.408 4.992
1.271 4.039 3.955
5.073 0.000 -1.631
1.699 0.000 -0.546


(17)
PBE-GGA NdDy5Th, optimized geometry; symmetry = C2/m, No. 12; energy of formation from the pure elements = 0.2271 eV per atom
1.0
5.907 1.680 3.169
4.611 7.590 4.697
1.991 2.111 8.008
Nd Dy Th
1 5 1
Cartesian
4.611 7.590 4.697
5.335 2.809 6.327
8.951 7.278 12.301
4.945 2.951 9.593
3.559 4.103 3.573
7.175 8.572 9.548
6.255 5.691 7.937


(18)
PBE-GGA NdDy4Th2, optimized geometry; symmetry = C2/m, No. 12; offset from the most stable computed form = 0.00 eV/f.u.; energy of formation from the pure elements = 0.0962 eV per atom
1.0
-0.716 2.241 2.611
-2.088 -8.962 2.395
7.911 3.500 1.526
Nd Dy Th
1 4 2
Cartesian
0.000 0.000 0.000
2.881 -3.341 3.656
4.691 2.886 3.539
2.226 0.120 2.875
0.416 -6.108 2.992
-0.084 -2.603 2.217
5.191 -0.618 4.315


(19)
PBE-GGA Nd3Dy7Th2, optimized geometry; symmetry = P-1, No. 2; energy of formation from the pure elements = 0.0247 eV per atom
1.0
-1.580 -2.806 1.590
5.439 -3.023 0.067
1.696 9.705 14.779
Nd Dy Th
3 7 2
Cartesian
1.930 -2.915 0.829
0.709 3.622 11.184
4.847 0.253 5.253
1.851 3.345 7.763
3.705 0.531 8.674
1.183 6.683 12.976
0.000 0.000 0.000
4.373 -2.807 3.461
2.402 0.144 2.665
3.153 3.731 13.772
4.237 3.523 10.440
1.318 0.352 5.997


(20)
PBE-GGA NdDy12Th7, optimized geometry; symmetry = Im-3, No. 204; energy of formation from the pure elements = 0.9371 eV per atom
1.0
9.424 0.000 -3.332
-4.712 8.161 -3.332
0.000 0.000 9.995
Nd Dy Th
1 12 7
Cartesian
0.000 0.000 0.000
1.067 6.040 3.352
5.908 6.040 -3.220
3.645 2.121 -0.020
-1.196 2.121 6.552
6.989 0.025 0.111
4.726 3.944 3.312
-2.277 8.137 3.220
-0.014 4.217 0.020
3.473 6.065 -0.111
1.239 2.096 3.443
5.765 2.096 6.644
-1.053 6.065 -3.312
2.356 4.081 -3.332
-2.356 4.081 3.332
4.712 0.000 3.332
2.356 4.081 1.666
0.000 0.000 4.998
4.712 0.000 -1.666
-2.356 4.081 -1.666